i) Zn2CCl after structural relaxation, computed with PBE.

```
Zn2CCl
1.0
7.268 0.000 -0.018
0.000 3.388 0.000
-0.095 0.000 6.102
Zn Cl C
4 2 2
direct
0.609 0.500 0.177
0.290 0.000 0.999
0.290 0.500 0.499
0.609 0.000 0.677
0.093 0.000 0.667
0.093 0.500 0.167
0.562 0.500 0.503
0.562 0.000 0.003
```

Computed properties:
Its space group is Cm. The density comes out at 3941 kg/m³.



ii) Zn2CCl after structural relaxation, computed with PBE.

```
Zn2CCl
1.0
3.079 -0.014 -0.003
1.331 3.212 -0.001
0.735 0.329 6.419
Cl C Zn
1 1 2
direct
0.176 0.764 0.979
0.733 0.348 0.490
0.067 0.765 0.372
0.223 0.268 0.713
```

Computed properties:
Its space group is P1. The density comes out at 4654 kg/m³.



Least stable structure: ii)



i) Zn2CCl after structural relaxation, computed with PBE.

```
Zn2CCl
1.0
-1.132 -1.473 -4.628
-2.295 -2.628 1.398
-10.456 10.634 2.828
Zn Cl C
8 4 4
direct
0.476 0.500 0.473
0.935 0.000 0.136
0.679 0.000 0.377
0.243 0.000 0.553
0.243 0.500 0.053
0.476 0.000 0.973
0.679 0.500 0.877
0.935 0.500 0.636
0.011 0.000 0.865
0.464 0.500 0.726
0.464 0.000 0.226
0.011 0.500 0.365
0.879 0.500 0.084
0.614 0.500 0.009
0.614 0.000 0.509
0.879 0.000 0.584
```

Computed properties:
Its space group is Cm. The density comes out at 4270 kg/m³.



ii) Zn2CCl after structural relaxation, computed with PBE.

```
Zn2CCl
1.0
0.000 3.100 3.100
3.100 0.000 3.100
3.100 3.100 0.000
C Zn Cl
1 2 1
direct
0.000 0.000 0.000
0.250 0.250 0.250
0.750 0.750 0.750
0.500 0.500 0.500
```

Computed properties:
Its space group is Fm-3m. The density comes out at 4969 kg/m³.



iii) Zn2CCl after structural relaxation, computed with PBE.

```
Zn2CCl
1.0
3.359 0.009 0.018
0.978 5.779 0.074
0.425 1.607 7.628
Zn C Cl
4 2 2
direct
0.896 0.418 0.975
0.587 0.850 0.010
0.380 0.560 0.724
0.436 0.184 0.356
0.971 0.129 0.215
0.031 0.020 0.085
0.416 0.982 0.659
0.396 0.556 0.425
```

Computed properties:
Its space group is P1. The density comes out at 4012 kg/m³.



Least stable structure: ii)



i) ZnC2Cl after structural relaxation, computed with PBE.

```
ZnC2Cl
1.0
-3.152 -0.357 2.591
-1.361 3.284 2.034
-3.631 1.640 -0.953
Cl C Zn
1 2 1
direct
0.000 0.000 0.000
0.250 0.250 0.250
0.750 0.750 0.750
0.500 0.500 0.500
```

Computed properties:
Its space group is Fm-3m. The density comes out at 4267 kg/m³.



ii) ZnC2Cl after structural relaxation, computed with PBE.

```
ZnC2Cl
1.0
-1.158 -1.897 -4.259
-1.871 -3.831 2.215
-5.990 -0.567 -0.829
Cl C Zn
2 4 2
direct
0.500 0.500 0.000
0.250 0.750 0.500
0.875 0.910 0.750
0.375 0.340 0.750
0.660 0.125 0.250
0.090 0.625 0.250
0.750 0.250 0.500
0.000 0.000 0.000
```

Computed properties:
Its space group is I-42d. The density comes out at 3570 kg/m³.



Least stable structure: i)



i) ZrC2Cl after structural relaxation, computed with PBE.

```
ZrC2Cl
1.0
0.000 2.953 2.953
2.953 0.000 2.953
2.953 2.953 0.000
Cl C Zr
1 2 1
direct
0.000 0.000 0.000
0.250 0.250 0.250
0.750 0.750 0.750
0.500 0.500 0.500
```

Computed properties:
Its space group is Fm-3m. The density comes out at 4857 kg/m³.



ii) ZrC2Cl after structural relaxation, computed with PBE.

```
ZrC2Cl
1.0
5.083 0.000 0.000
0.000 5.083 0.000
2.542 2.542 5.593
C Zr Cl
4 2 2
direct
0.875 0.907 0.750
0.375 0.343 0.750
0.657 0.125 0.250
0.093 0.625 0.250
0.750 0.250 0.500
0.000 0.000 0.000
0.250 0.750 0.500
0.500 0.500 0.000
```

Computed properties:
Its space group is I-42d. The density comes out at 3463 kg/m³.



Least stable structure: i)



i) ZrCCl2 after structural relaxation, computed with PBE.

```
ZrCCl2
1.0
9.609 0.000 0.000
0.000 9.609 0.000
4.805 4.805 2.162
C Zr Cl
2 2 4
direct
0.250 0.750 0.500
0.500 0.500 0.000
0.750 0.250 0.500
0.000 0.000 0.000
0.961 0.625 0.250
0.789 0.125 0.250
0.875 0.039 0.750
0.375 0.211 0.750
```

Computed properties:
Its space group is I-42d. The density comes out at 2897 kg/m³.



ii) ZrCCl2 after structural relaxation, computed with PBE.

```
ZrCCl2
1.0
-4.422 2.415 6.895
-3.608 -0.624 7.714
-1.510 1.809 8.208
Zr Cl C
1 2 1
direct
0.500 0.500 0.500
0.093 0.093 0.093
0.907 0.907 0.907
0.000 0.000 0.000
```

Computed properties:
Its space group is R-3m. The density comes out at 3792 kg/m³.



Least stable structure: ii)



i) Co2C after structural relaxation, computed with PBE.

```
Co2C
1.0
1.308 -2.266 0.000
1.308 2.266 0.000
0.000 0.000 9.114
Co C
4 2
direct
0.333 0.667 0.616
0.667 0.333 0.384
0.333 0.667 0.884
0.667 0.333 0.116
0.000 0.000 0.250
0.000 0.000 0.750
```

Computed properties:
Its space group is P6_3/mmc. The density comes out at 7982 kg/m³.



ii) Co2C after structural relaxation, computed with PBE.

```
Co2C
1.0
4.129 0.000 0.000
3.107 2.719 0.000
3.107 1.168 2.456
Co C
2 1
direct
0.252 0.252 0.252
0.748 0.748 0.748
0.000 0.000 0.000
```

Computed properties:
Its space group is R-3m. The density comes out at 7823 kg/m³.



Least stable structure: i)